No. 1
Below is an optimized crystal structure of AlBi2MoPb, with properties calculated at the PBE-GGA level.

Properties
As for the distance to the lowest polymorph of the same formula: 4.218 eV/f.u. The calculation puts the density of states at the Fermi level at 3.449 states/eV per cell. For the formation energy, the calculation gives 1.54 eV/atom.

a = 5.9196 Å, b = 5.9196 Å, c = 5.2720 Å
α = 90.00°, β = 90.00°, γ = 90.00°
Last column: nearest neighbours and their distance in Å.
Space group P4/mmm (No. 123)
Unique sites:
Al 0.0000 0.0000 0.0000 (multiplicity 1)  2 Pb 2.64
Bi 0.0000 0.5000 0.5000 (multiplicity 2)  2 Pb 2.96
Mo 0.5000 0.5000 0.0000 (multiplicity 1)  8 Bi 3.96, 4 Al 4.19
Pb 0.0000 0.0000 0.5000 (multiplicity 1)  2 Al 2.64


No. 2
Below is an optimized crystal structure of AlBi2MoPb, with properties calculated at the PBE-GGA level.

Properties
As for the distance to the lowest polymorph of the same formula: 0.000 eV/f.u. The calculation puts the density of states at the Fermi level at 3.657 states/eV per cell. For the formation energy, the calculation gives 0.70 eV/atom.

a = 5.4072 Å, b = 5.4072 Å, c = 5.4222 Å
α = 90.00°, β = 90.00°, γ = 90.00°
Last column: nearest neighbours and their distance in Å.
Space group P4/mmm (No. 123)
Unique sites:
Al 0.0000 0.0000 0.0000 (multiplicity 1)  4 Pb 3.82, 8 Bi 3.83
Bi 0.0000 0.5000 0.5000 (multiplicity 2)  2 Mo 2.70
Mo 0.5000 0.5000 0.5000 (multiplicity 1)  4 Bi 2.70, 2 Pb 2.71
Pb 0.5000 0.5000 0.0000 (multiplicity 1)  2 Mo 2.71


No. 3
Below is an optimized crystal structure of RbAlBi2Mo, with properties calculated at the PBE-GGA level.

Properties
The calculation puts the density of states at the Fermi level at 4.463 states/eV per cell. For the formation energy, the calculation gives 0.88 eV/atom.

a = 5.3982 Å, b = 5.3982 Å, c = 6.3501 Å
α = 90.00°, β = 90.00°, γ = 90.00°
Last column: nearest neighbours and their distance in Å.
Space group P4/mmm (No. 123)
Unique sites:
Rb 0.0000 0.0000 0.0000 (multiplicity 1)  2 Mo 3.18
Al 0.5000 0.5000 0.0000 (multiplicity 1)  4 Rb 3.82, 8 Bi 4.17
Bi 0.0000 0.5000 0.5000 (multiplicity 2)  2 Mo 2.70
Mo 0.0000 0.0000 0.5000 (multiplicity 1)  4 Bi 2.70


No. 4
Below is an optimized crystal structure of AlReBiMo2, with properties calculated at the PBE-GGA level.

Properties
The calculation puts the density of states at the Fermi level at 7.564 states/eV per cell. For the formation energy, the calculation gives 2.60 eV/atom.

a = 5.0393 Å, b = 5.0393 Å, c = 4.9748 Å
α = 90.00°, β = 90.00°, γ = 90.00°
Last column: nearest neighbours and their distance in Å.
Space group P4/mmm (No. 123)
Unique sites:
Al 0.0000 0.0000 0.0000 (multiplicity 1)  8 Mo 3.54, 4 Re 3.56
Re 0.5000 0.5000 0.0000 (multiplicity 1)  2 Bi 2.49
Bi 0.5000 0.5000 0.5000 (multiplicity 1)  2 Re 2.49, 4 Mo 2.52
Mo 0.0000 0.5000 0.5000 (multiplicity 2)  2 Bi 2.52


No. 5
Below is an optimized crystal structure of AlBi2MoRu, with properties calculated at the PBE-GGA level.

Properties
The calculation puts the density of states at the Fermi level at 6.478 states/eV per cell. For the formation energy, the calculation gives 1.59 eV/atom.

a = 5.2444 Å, b = 5.2444 Å, c = 4.6053 Å
α = 90.00°, β = 90.00°, γ = 90.00°
Last column: nearest neighbours and their distance in Å.
Space group P4/mmm (No. 123)
Unique sites:
Al 0.0000 0.0000 0.0000 (multiplicity 1)  2 Mo 2.30
Bi 0.0000 0.5000 0.0000 (multiplicity 2)  2 Al 2.62
Mo 0.0000 0.0000 0.5000 (multiplicity 1)  2 Al 2.30
Ru 0.5000 0.5000 0.5000 (multiplicity 1)  8 Bi 3.49, 4 Mo 3.71


No. 6
Below is an optimized crystal structure of Al2BiTeMo, with properties calculated at the PBE-GGA level.

Properties
The calculation puts the density of states at the Fermi level at 5.262 states/eV per cell. The formation energy from raw total energies is 0.572 eV/atom.

a = 5.0106 Å, b = 5.0106 Å, c = 5.3682 Å
α = 90.00°, β = 90.00°, γ = 90.00°
Last column: nearest neighbours and their distance in Å.
Space group P4/mmm (No. 123)
Unique sites:
Al 0.0000 0.5000 0.0000 (multiplicity 2)  2 Mo 2.51
Bi 0.0000 0.0000 0.5000 (multiplicity 1)  2 Mo 2.68
Te 0.5000 0.5000 0.5000 (multiplicity 1)  4 Bi 3.54, 8 Al 3.67
Mo 0.0000 0.0000 0.0000 (multiplicity 1)  4 Al 2.51, 2 Bi 2.68


No. 7
Below is an optimized crystal structure of Al3BiN, with properties calculated at the PBE-GGA level.

Properties
As for the distance to the lowest polymorph of the same formula: 0.000 eV/f.u. The calculation puts the density of states at the Fermi level at 3.718 states/eV per cell. The formation energy from raw total energies is 0.228 eV/atom.

a = 4.4249 Å, b = 4.4249 Å, c = 4.4249 Å
α = 90.00°, β = 90.00°, γ = 90.00°
Last column: nearest neighbours and their distance in Å.
Space group Pm-3m (No. 221)
Unique sites:
Al 0.0000 0.0000 0.5000 (multiplicity 3)  2 N 2.21
Bi 0.5000 0.5000 0.5000 (multiplicity 1)  12 Al 3.13
N 0.0000 0.0000 0.0000 (multiplicity 1)  6 Al 2.21


No. 8
Below is an optimized crystal structure of Al3BiN, with properties calculated at the PBE-GGA level.

Properties
As for the distance to the lowest polymorph of the same formula: 9.387 eV/f.u. The calculation puts the density of states at the Fermi level at 5.403 states/eV per cell. The formation energy from raw total energies is 2.105 eV/atom.

a = 5.4652 Å, b = 5.4652 Å, c = 5.4652 Å
α = 90.00°, β = 90.00°, γ = 90.00°
Last column: nearest neighbours and their distance in Å.
Space group Pm-3m (No. 221)
Unique sites:
Al 0.0000 0.0000 0.5000 (multiplicity 3)  2 Bi 2.73
Bi 0.0000 0.0000 0.0000 (multiplicity 1)  6 Al 2.73
N 0.5000 0.5000 0.5000 (multiplicity 1)  12 Al 3.86


No. 9
Below is an optimized crystal structure of AlBiNO2, with properties calculated at the PBE-GGA level.

Properties
The calculation puts the density of states at the Fermi level at 2.141 states/eV per cell. The formation energy from raw total energies is 0.318 eV/atom.

a = 4.1675 Å, b = 4.1675 Å, c = 4.4039 Å
α = 90.00°, β = 90.00°, γ = 90.00°
Last column: nearest neighbours and their distance in Å.
Space group P4/mmm (No. 123)
Unique sites:
Al 0.0000 0.0000 0.0000 (multiplicity 1)  4 N 2.95, 8 O 3.03
Bi 0.5000 0.5000 0.5000 (multiplicity 1)  4 O 2.08, 2 N 2.20
N 0.5000 0.5000 0.0000 (multiplicity 1)  2 Bi 2.20
O 0.0000 0.5000 0.5000 (multiplicity 2)  2 Bi 2.08


No. 10
Below is an optimized crystal structure of AlBiNO2, with properties calculated at the PBE-GGA level.

Properties
The calculation puts the density of states at the Fermi level at 2.406 states/eV per cell. The formation energy from raw total energies is -1.041 eV/atom.

a = 3.7735 Å, b = 3.7735 Å, c = 3.9391 Å
α = 90.00°, β = 90.00°, γ = 90.00°
Last column: nearest neighbours and their distance in Å.
Space group P4/mmm (No. 123)
Unique sites:
Al 0.0000 0.0000 0.0000 (multiplicity 1)  4 O 1.89, 2 N 1.97
Bi 0.5000 0.5000 0.5000 (multiplicity 1)  4 N 2.67, 8 O 2.73
N 0.0000 0.0000 0.5000 (multiplicity 1)  2 Al 1.97
O 0.0000 0.5000 0.0000 (multiplicity 2)  2 Al 1.89


No. 11
Below is an optimized crystal structure of AlBi2PbN, with properties calculated at the PBE-GGA level.

Properties
The calculation puts the density of states at the Fermi level at 3.458 states/eV per cell. The formation energy from raw total energies is 0.195 eV/atom.

a = 5.7711 Å, b = 5.7711 Å, c = 3.6513 Å
α = 90.00°, β = 90.00°, γ = 90.00°
Last column: nearest neighbours and their distance in Å.
Space group P4/mmm (No. 123)
Unique sites:
Al 0.0000 0.0000 0.0000 (multiplicity 1)  2 N 1.83
Bi 0.0000 0.5000 0.5000 (multiplicity 2)  2 N 2.89
Pb 0.5000 0.5000 0.0000 (multiplicity 1)  8 Bi 3.41, 2 Pb 3.65
N 0.0000 0.0000 0.5000 (multiplicity 1)  2 Al 1.83


No. 12
Below is an optimized crystal structure of RbAlBi2N, with properties calculated at the PBE-GGA level.

Properties
The calculation puts the density of states at the Fermi level at 5.351 states/eV per cell. The formation energy from raw total energies is 1.875 eV/atom.

a = 6.2421 Å, b = 6.2421 Å, c = 4.2424 Å
α = 90.00°, β = 90.00°, γ = 90.00°
Last column: nearest neighbours and their distance in Å.
Space group P4/mmm (No. 123)
Unique sites:
Rb 0.0000 0.0000 0.0000 (multiplicity 1)  2 N 2.12
Al 0.5000 0.5000 0.5000 (multiplicity 1)  8 Bi 3.77
Bi 0.0000 0.5000 0.0000 (multiplicity 2)  2 Rb 3.12
N 0.0000 0.0000 0.5000 (multiplicity 1)  2 Rb 2.12